(1)
TiInHg2C | PBE-GGA | optimized geometry

Results
**Crystal system**: tetragonal
**E_tot**: -16.91 eV for the cell shown
**Theoretical density**: 7.9 g cm⁻³
**Magnetization**: 0.0 μB/f.u.
**DFT formation energy**: 0.71 eV per atom

Cell: 5.556 5.556 3.943 Å, 90.00 90.00 90.00°
Positions (direct):
Ti (0.000, 0.000, 0.000)
In (0.500, 0.500, 0.500)
Hg (0.000, 0.500, 0.000)
Hg (0.500, 0.000, 0.000)
C (0.000, 0.000, 0.500)

(2)
Y4InHgC | PBE-GGA | optimized geometry

Results
**Crystal system**: orthorhombic
**E_tot**: -81.64 eV for the cell shown
**Theoretical density**: 6.2 g cm⁻³
**Magnetization**: 0.0 μB/f.u.
**DFT formation energy**: -0.39 eV per atom

Cell: 8.300 8.300 6.972 Å, 90.00 90.00 130.36°
Positions (direct):
Y (0.000, 0.500, 0.000)
Y (0.000, 0.500, 0.500)
Y (0.083, 0.917, 0.750)
Y (0.414, 0.586, 0.750)
Y (0.500, 0.000, 0.000)
Y (0.500, 0.000, 0.500)
Y (0.586, 0.414, 0.250)
Y (0.917, 0.083, 0.250)
In (0.382, 0.618, 0.250)
In (0.618, 0.382, 0.750)
Hg (0.119, 0.881, 0.250)
Hg (0.881, 0.119, 0.750)
C (0.249, 0.751, 0.750)
C (0.751, 0.249, 0.250)

(3)
ZnInHg2C | PBE-GGA | optimized geometry

Results
**Crystal system**: tetragonal
**E_tot**: -6.59 eV for the cell shown
**Theoretical density**: 6.7 g cm⁻³
**Magnetization**: 2.5 μB/f.u.
**DFT formation energy**: 1.45 eV per atom

Cell: 5.166 5.166 5.489 Å, 90.00 90.00 90.00°
Positions (direct):
Zn (0.000, 0.000, 0.000)
In (0.000, 0.000, 0.500)
Hg (0.000, 0.500, 0.000)
Hg (0.500, 0.000, 0.000)
C (0.500, 0.500, 0.500)

(4)
Hg2IrC | PBE-GGA | optimized geometry

Results
**Crystal system**: tetragonal
**E_tot**: -30.19 eV for the cell shown
**Theoretical density**: 12.5 g cm⁻³
**Magnetization**: 0.0 μB/f.u.
**DFT formation energy**: 0.90 eV per atom

Cell: 6.719 6.719 6.719 Å, 94.78 94.78 146.44°
Positions (direct):
Hg (0.375, 0.235, 0.360)
Hg (0.765, 0.125, 0.140)
Hg (0.875, 0.015, 0.640)
Hg (0.985, 0.625, 0.860)
Ir (0.250, 0.750, 0.500)
Ir (0.500, 0.500, 0.000)
C (0.000, 0.000, 0.000)
C (0.750, 0.250, 0.500)

(5)
La2HgIrC | PBE-GGA | optimized geometry

Results
**Crystal system**: tetragonal
**E_tot**: -30.73 eV for the cell shown
**Theoretical density**: 9.8 g cm⁻³
**Magnetization**: 0.0 μB/f.u.
**DFT formation energy**: -0.50 eV per atom

Cell: 5.452 5.452 3.906 Å, 90.00 90.00 90.00°
Positions (direct):
La (0.000, 0.500, 0.000)
La (0.500, 0.000, 0.000)
Hg (0.000, 0.000, 0.500)
Ir (0.500, 0.500, 0.500)
C (0.500, 0.500, 0.000)

(6)
Li2HgIrC | PBE-GGA | optimized geometry

Results
**Crystal system**: tetragonal
**E_tot**: -22.31 eV for the cell shown
**Theoretical density**: 10.0 g cm⁻³
**Magnetization**: 0.0 μB/f.u.
**DFT formation energy**: -0.02 eV per atom

Cell: 4.232 4.232 3.893 Å, 90.00 90.00 90.00°
Positions (direct):
Li (0.000, 0.500, 0.000)
Li (0.500, 0.000, 0.000)
Hg (0.000, 0.000, 0.500)
Ir (0.500, 0.500, 0.500)
C (0.500, 0.500, 0.000)

(7)
HgMoIr2C | PBE-GGA | optimized geometry

Results
**Crystal system**: tetragonal
**E_tot**: -35.78 eV for the cell shown
**Theoretical density**: 15.8 g cm⁻³
**Magnetization**: 0.5 μB/f.u.
**DFT formation energy**: 0.46 eV per atom

Cell: 4.133 4.133 4.273 Å, 90.00 90.00 90.00°
Positions (direct):
Hg (0.000, 0.000, 0.000)
Mo (0.500, 0.500, 0.000)
Ir (0.000, 0.500, 0.500)
Ir (0.500, 0.000, 0.500)
C (0.500, 0.500, 0.500)

(8)
HgMoIrC2 | PBE-GGA | optimized geometry

Results
**Crystal system**: tetragonal
**E_tot**: -28.82 eV for the cell shown
**Theoretical density**: 9.8 g cm⁻³
**Magnetization**: 3.3 μB/f.u.
**DFT formation energy**: 1.93 eV per atom

Cell: 3.954 3.954 5.555 Å, 90.00 90.00 90.00°
Positions (direct):
Hg (0.000, 0.000, 0.000)
Mo (0.500, 0.500, 0.000)
Ir (0.000, 0.000, 0.500)
C (0.000, 0.500, 0.500)
C (0.500, 0.000, 0.500)